NaPaGa, relaxed, DFT PBE; symmetry = F-43m (216); final energy = -12.25 eV per formula unit; V = 317.59 Å³/cell
1.0
6.823 0.000 0.000
0.000 6.823 0.000
0.000 0.000 6.823
Na Pa Ga
4 4 4
Direct
0.000 0.000 0.000
0.000 0.500 0.500
0.500 0.000 0.500
0.500 0.500 0.000
0.000 0.000 0.500
0.000 0.500 0.000
0.500 0.000 0.000
0.500 0.500 0.500
0.250 0.250 0.250
0.250 0.750 0.750
0.750 0.250 0.750
0.750 0.750 0.250